Ac3Sn2Pd7 PBE-GGA optimized geometry; polymorph energy (0 for the lowest one) = 1.07 eV per formula unit; calculated formation energy = -0.618 eV/atom; E = -64.097 eV for the cell shown; space group = P2/m, No. 10
1.0
4.482 0.000 0.000
0.000 4.181 0.000
-1.871 0.000 15.567
Ac Sn Pd
3 2 7
direct
0.000 0.000 0.000 Ac
0.194 0.000 0.403 Ac
0.806 0.000 0.597 Ac
0.410 0.500 0.832 Sn
0.590 0.500 0.168 Sn
0.130 0.500 0.263 Pd
0.307 0.500 0.584 Pd
0.362 0.000 0.726 Pd
0.500 0.500 0.000 Pd
0.638 0.000 0.274 Pd
0.693 0.500 0.416 Pd
0.870 0.500 0.737 Pd

=====

AcSn2Pd PBE-GGA optimized geometry; polymorph energy (0 for the lowest one) = 0.00 eV per formula unit; calculated formation energy = -0.785 eV/atom; E = -40.897 eV for the cell shown; space group = P2_1/m, No. 11
1.0
4.674 0.000 0.000
0.000 4.732 0.000
-2.269 0.000 9.737
Ac Sn Pd
2 4 2
direct
0.122 0.250 0.219 Ac
0.878 0.750 0.781 Ac
0.245 0.750 0.502 Sn
0.424 0.250 0.917 Sn
0.576 0.750 0.083 Sn
0.755 0.250 0.498 Sn
0.328 0.250 0.646 Pd
0.672 0.750 0.354 Pd

=====

Ac4Sn2Pd PBE-GGA optimized geometry; calculated formation energy = -0.631 eV/atom; E = -34.049 eV for the cell shown; space group = C2/m, No. 12
1.0
6.308 -2.470 0.000
6.308 2.470 0.000
-5.098 0.000 8.018
Ac Sn Pd
4 2 1
direct
0.082 0.082 0.361 Ac
0.323 0.323 0.930 Ac
0.677 0.677 0.070 Ac
0.918 0.918 0.639 Ac
0.368 0.368 0.347 Sn
0.632 0.632 0.653 Sn
0.000 0.000 0.000 Pd

=====

AcSn3Pd PBE-GGA optimized geometry; polymorph energy (0 for the lowest one) = 0.06 eV per formula unit; calculated formation energy = -0.627 eV/atom; E = -24.444 eV for the cell shown; space group = I4mm, No. 107
1.0
-2.491 2.491 5.427
2.491 -2.491 5.427
2.491 2.491 -5.427
Ac Sn Pd
1 3 1
direct
0.000 0.000 0.000 Ac
0.258 0.758 0.500 Sn
0.419 0.419 0.000 Sn
0.758 0.258 0.500 Sn
0.661 0.661 0.000 Pd